(1)
{
  "formula": "NdVP2",
  "functional": "PBE-GGA",
  "state": "optimized geometry",
  "m_tot_mub_per_cell": 2.0,
  "total_energy_ev_per_atom": -6.127,
  "spacegroup": "No. 166",
  "lattice_angstrom": [[2.140, 1.235, 7.523], [-2.140, 1.235, 7.523], [0.000, -2.471, 7.523]],
  "species": ["Nd", "V", "P", "P"],
  "frac_coords": [[0.000, 0.000, 0.000], [0.500, 0.500, 0.500], [0.400, 0.400, 0.400], [0.600, 0.600, 0.600]]
}


(2)
{
  "formula": "VC3S",
  "functional": "PBE-GGA",
  "state": "optimized geometry",
  "m_tot_mub_per_cell": 1.4,
  "total_energy_ev_per_atom": -5.911,
  "spacegroup": "No. 221",
  "e_form_raw_ev_per_atom": 2.273,
  "lattice_angstrom": [[3.590, 0.000, 0.000], [0.000, 3.590, 0.000], [0.000, 0.000, 3.590]],
  "species": ["V", "C", "C", "C", "S"],
  "frac_coords": [[0.000, 0.000, 0.000], [0.000, 0.500, 0.500], [0.500, 0.000, 0.500], [0.500, 0.500, 0.000], [0.500, 0.500, 0.500]]
}


(3)
{
  "formula": "TcNi4",
  "functional": "PBE-GGA",
  "state": "optimized geometry",
  "m_tot_mub_per_cell": 0.0,
  "total_energy_ev_per_atom": -6.721,
  "spacegroup": "No. 87",
  "lattice_angstrom": [[-2.839, 2.839, 1.785], [2.839, -2.839, 1.785], [2.839, 2.839, -1.785]],
  "species": ["Tc", "Ni", "Ni", "Ni", "Ni"],
  "frac_coords": [[0.000, 0.000, 0.000], [0.201, 0.601, 0.803], [0.399, 0.201, 0.600], [0.601, 0.799, 0.400], [0.799, 0.399, 0.197]]
}


(4)
{
  "formula": "Cs3Li2TbCl8",
  "functional": "PBE-GGA",
  "state": "optimized geometry",
  "m_tot_mub_per_cell": 0.0,
  "total_energy_ev_per_atom": -3.865,
  "spacegroup": "No. 164",
  "e_form_raw_ev_per_atom": -2.023,
  "lattice_angstrom": [[7.489, 0.000, 0.000], [-3.744, 6.486, 0.000], [0.000, 0.000, 9.796]],
  "species": ["Cs", "Cs", "Cs", "Li", "Li", "Tb", "Cl", "Cl", "Cl", "Cl", "Cl", "Cl", "Cl", "Cl"],
  "frac_coords": [[0.000, 0.000, 0.000], [0.333, 0.667, 0.665], [0.667, 0.333, 0.335], [0.333, 0.667, 0.224], [0.667, 0.333, 0.776], [0.000, 0.000, 0.500], [0.165, 0.331, 0.341], [0.165, 0.835, 0.341], [0.331, 0.165, 0.659], [0.333, 0.667, 0.998], [0.667, 0.333, 0.002], [0.669, 0.835, 0.341], [0.835, 0.165, 0.659], [0.835, 0.669, 0.659]]
}